No. 1
# LiSbRh2 (PBE, relaxed)
# Total DFT energy (no corrections) in eV/atom: -5.539
# ρ in g/cm³: 9.11
# Density of states at the Fermi level in states/eV per cell: 17.256
# Size of the total moment in μB per cell: 0.00
data_LiSbRh2
_chemical_formula_sum 'Li4 Sb4 Rh8'
_cell_length_a 5.437
_cell_length_b 5.451
_cell_length_c 8.230
_cell_angle_alpha 90.00
_cell_angle_beta 90.00
_cell_angle_gamma 90.00
_space_group_name_H-M_alt 'F 2 2 2'
_space_group_IT_number 22
_space_group_name_Hall 'F 2 2'
loop_
_atom_site_label
_atom_site_fract_x
_atom_site_fract_y
_atom_site_fract_z
Li1 0.000 0.000 0.000
Sb1 0.250 0.250 0.750
Rh1 0.000 0.000 0.500
Rh2 0.250 0.250 0.250

No. 2
# Mg2AuCl (PBE, relaxed)
# Total DFT energy (no corrections) in eV/atom: -2.923
# ρ in g/cm³: 5.62
# Density of states at the Fermi level in states/eV per cell: 0.518
# E above lowest polymorph in eV/f.u.: 0.02
# Size of the total moment in μB per cell: 0.00
data_Mg2AuCl
_chemical_formula_sum 'Mg2 Au1 Cl1'
_cell_length_a 3.487
_cell_length_b 3.223
_cell_length_c 7.384
_cell_angle_alpha 90.00
_cell_angle_beta 90.12
_cell_angle_gamma 90.00
_space_group_name_H-M_alt 'P 1 2/m 1'
_space_group_IT_number 10
loop_
_space_group_symop_operation_xyz
'x,y,z'
'-x,-y,-z'
'-x,y,-z'
'x,-y,z'
loop_
_atom_site_label
_atom_site_fract_x
_atom_site_fract_y
_atom_site_fract_z
Mg1 0.002 0.000 0.213
Au1 0.500 0.500 0.000
Cl1 0.000 0.500 0.500

No. 3
# KLiNi2 (PBE, relaxed)
# Total DFT energy (no corrections) in eV/atom: -3.043
# ρ in g/cm³: 4.44
# Density of states at the Fermi level in states/eV per cell: 8.092
# E above lowest polymorph in eV/f.u.: 0.97
# Size of the total moment in μB per cell: 0.00
# Formation energy from the elements in kJ/mol of atoms: 57.9
data_KLiNi2
_chemical_formula_sum 'K3 Li3 Ni6'
_cell_length_a 2.7465
_cell_length_b 2.7465
_cell_length_c 28.0497
_cell_angle_alpha 90.00
_cell_angle_beta 90.00
_cell_angle_gamma 120.00
_space_group_name_H-M_alt 'R -3 m'
_space_group_IT_number 166
_space_group_name_Hall '-R 3 2"'
loop_
_atom_site_label
_atom_site_fract_x
_atom_site_fract_y
_atom_site_fract_z
K1 0.0000 0.0000 0.0000
Li1 0.0000 0.0000 0.5000
Ni1 0.0000 0.0000 0.2384

No. 4
# Pm3Zn2Cd3 (PBE, relaxed)
# Total DFT energy (no corrections) in eV/atom: -2.732
# ρ in g/cm³: 7.39
# Density of states at the Fermi level in states/eV per cell: 7.329
# Size of the total moment in μB per cell: 0.00
# Formation energy from the elements in kJ/mol of atoms: -27.9
data_Pm3Zn2Cd3
_chemical_formula_sum 'Pm3 Zn2 Cd3'
_cell_length_a 7.6920
_cell_length_b 7.6920
_cell_length_c 3.9625
_cell_angle_alpha 90.00
_cell_angle_beta 90.00
_cell_angle_gamma 120.00
_space_group_name_H-M_alt 'P -6 2 m'
_space_group_IT_number 189
_space_group_name_Hall 'P -6 -2'
loop_
_atom_site_label
_atom_site_fract_x
_atom_site_fract_y
_atom_site_fract_z
Pm1 0.0000 0.5965 0.0000
Zn1 0.3333 0.6667 0.5000
Cd1 0.0000 0.2338 0.5000

No. 5
# Sr2Ni (PBE, relaxed)
# Total DFT energy (no corrections) in eV/atom: -2.901
# ρ in g/cm³: 3.83
# Density of states at the Fermi level in states/eV per cell: 10.187
# Size of the total moment in μB per cell: 0.00
# Formation energy from the elements in kJ/mol of atoms: 14.2
data_Sr2Ni
_chemical_formula_sum 'Sr8 Ni4'
_cell_length_a 3.790
_cell_length_b 19.132
_cell_length_c 5.595
_cell_angle_alpha 90.00
_cell_angle_beta 90.00
_cell_angle_gamma 90.00
_space_group_name_H-M_alt 'C m c m'
_space_group_IT_number 63
_space_group_name_Hall '-C 2c 2'
loop_
_atom_site_label
_atom_site_fract_x
_atom_site_fract_y
_atom_site_fract_z
Sr1 0.000 0.061 0.250
Sr2 0.000 0.187 0.750
Ni1 0.000 0.434 0.250

No. 6
# NaTl2B2O6 (PBE, relaxed)
# Total DFT energy (no corrections) in eV/atom: -6.038
# ρ in g/cm³: 6.25
# Density of states at the Fermi level in states/eV per cell: 2.222
# Size of the total moment in μB per cell: 0.00
data_NaTl2B2O6
_chemical_formula_sum 'Na1 Tl2 B2 O6'
_cell_length_a 5.311
_cell_length_b 5.330
_cell_length_c 6.386
_cell_angle_alpha 70.28
_cell_angle_beta 69.25
_cell_angle_gamma 62.01
_space_group_name_H-M_alt 'P -1'
_space_group_IT_number 2
loop_
_space_group_symop_operation_xyz
'x,y,z'
'-x,-y,-z'
loop_
_atom_site_label
_atom_site_fract_x
_atom_site_fract_y
_atom_site_fract_z
Na1 0.000 0.000 0.000
Tl1 0.307 0.272 0.285
B1 0.340 0.394 0.755
O1 0.123 0.670 0.754
O2 0.316 0.186 0.683
O3 0.416 0.684 0.165

No. 7
# K2Cr2NiSe6 (PBE, relaxed)
# Total DFT energy (no corrections) in eV/atom: -5.034
# ρ in g/cm³: 4.33
# Density of states at the Fermi level in states/eV per cell: 1.634
# Size of the total moment in μB per cell: 11.96
data_K2Cr2NiSe6
_chemical_formula_sum 'K4 Cr4 Ni2 Se12'
_cell_length_a 6.436
_cell_length_b 11.125
_cell_length_c 7.966
_cell_angle_alpha 90.00
_cell_angle_beta 106.01
_cell_angle_gamma 90.00
_space_group_name_H-M_alt 'C 1 2/m 1'
_space_group_IT_number 12
loop_
_space_group_symop_operation_xyz
'x,y,z'
'-x,-y,-z'
'-x,y,-z'
'x,-y,z'
'x+1/2,y+1/2,z'
'-x+1/2,-y+1/2,-z'
'-x+1/2,y+1/2,-z'
'x+1/2,-y+1/2,z'
loop_
_atom_site_label
_atom_site_fract_x
_atom_site_fract_y
_atom_site_fract_z
K1 0.000 0.169 0.000
Cr1 0.000 0.332 0.500
Ni1 0.000 0.000 0.500
Se1 0.221 0.160 0.671
Se2 0.236 0.500 0.671

No. 8
# Ce2SiAu (PBE, relaxed)
# Total DFT energy (no corrections) in eV/atom: -5.637
# ρ in g/cm³: 8.58
# Density of states at the Fermi level in states/eV per cell: 56.061
# E above lowest polymorph in eV/f.u.: 0.34
# Size of the total moment in μB per cell: 10.93
data_Ce2SiAu
_chemical_formula_sum 'Ce8 Si4 Au4'
_cell_length_a 7.313
_cell_length_b 7.313
_cell_length_c 7.313
_cell_angle_alpha 90.00
_cell_angle_beta 90.00
_cell_angle_gamma 90.00
_space_group_name_H-M_alt 'F m -3 m'
_space_group_IT_number 225
_space_group_name_Hall '-F 4 2 3'
loop_
_atom_site_label
_atom_site_fract_x
_atom_site_fract_y
_atom_site_fract_z
Ce1 0.250 0.250 0.250
Si1 0.000 0.000 0.000
Au1 0.000 0.000 0.500

No. 9
# InSnHg2I (PBE, relaxed)
# Total DFT energy (no corrections) in eV/atom: -1.826
# ρ in g/cm³: 6.63
# Density of states at the Fermi level in states/eV per cell: 1.152
# Size of the total moment in μB per cell: 0.00
data_InSnHg2I
_chemical_formula_sum 'In1 Sn1 Hg2 I1'
_cell_length_a 5.619
_cell_length_b 5.619
_cell_length_c 6.039
_cell_angle_alpha 90.00
_cell_angle_beta 90.00
_cell_angle_gamma 90.00
_space_group_name_H-M_alt 'P 4/m m m'
_space_group_IT_number 123
_space_group_name_Hall '-P 4 2'
loop_
_atom_site_label
_atom_site_fract_x
_atom_site_fract_y
_atom_site_fract_z
In1 0.000 0.000 0.000
Sn1 0.000 0.000 0.500
Hg1 0.000 0.500 0.500
I1 0.500 0.500 0.000

No. 10
# Pm4Sc5Tl6 (PBE, relaxed)
# Total DFT energy (no corrections) in eV/atom: -4.493
# ρ in g/cm³: 8.02
# Density of states at the Fermi level in states/eV per cell: 63.822
# Size of the total moment in μB per cell: 6.70
# Formation energy from the elements in kJ/mol of atoms: -16.3
data_Pm4Sc5Tl6
_chemical_formula_sum 'Pm16 Sc20 Tl24'
_cell_length_a 3.673
_cell_length_b 26.760
_cell_length_c 17.111
_cell_angle_alpha 90.00
_cell_angle_beta 90.00
_cell_angle_gamma 90.00
_space_group_name_H-M_alt 'C m c 21'
_space_group_IT_number 36
loop_
_space_group_symop_operation_xyz
'x,y,z'
'-x,-y,z+1/2'
'-x,y,z'
'x,-y,z+1/2'
'x+1/2,y+1/2,z'
'-x+1/2,-y+1/2,z+1/2'
'-x+1/2,y+1/2,z'
'x+1/2,-y+1/2,z+1/2'
loop_
_atom_site_label
_atom_site_fract_x
_atom_site_fract_y
_atom_site_fract_z
Pm1 0.000 0.008 0.000
Pm2 0.000 0.041 0.290
Pm3 0.000 0.155 0.779
Pm4 0.000 0.198 0.418
Sc1 0.000 0.161 0.117
Sc2 0.000 0.293 0.089
Sc3 0.000 0.352 0.769
Sc4 0.000 0.379 0.474
Sc5 0.000 0.458 0.164
Tl1 0.000 0.118 0.588
Tl2 0.000 0.209 0.959
Tl3 0.000 0.242 0.242
Tl4 0.000 0.407 0.936
Tl5 0.000 0.432 0.634
Tl6 0.000 0.444 0.338

No. 11
# AlW4 (PBE, relaxed)
# Total DFT energy (no corrections) in eV/atom: -9.228
# ρ in g/cm³: 14.12
# Density of states at the Fermi level in states/eV per cell: 5.207
# E above lowest polymorph in eV/f.u.: 1.49
# Size of the total moment in μB per cell: 0.00
# Formation energy from the elements in kJ/mol of atoms: 181.7
data_AlW4
_chemical_formula_sum 'Al1 W4'
_cell_length_a 4.476
_cell_length_b 4.476
_cell_length_c 4.476
_cell_angle_alpha 90.00
_cell_angle_beta 90.00
_cell_angle_gamma 90.00
_space_group_name_H-M_alt 'P m -3 m'
_space_group_IT_number 221
_space_group_name_Hall '-P 4 2 3'
loop_
_atom_site_label
_atom_site_fract_x
_atom_site_fract_y
_atom_site_fract_z
Al1 0.000 0.000 0.000
W1 0.000 0.000 0.500
W2 0.500 0.500 0.500

No. 12
# Zn3Cu5 (PBE, relaxed)
# Total DFT energy (no corrections) in eV/atom: -3.113
# ρ in g/cm³: 8.37
# Density of states at the Fermi level in states/eV per cell: 3.339
# E above lowest polymorph in eV/f.u.: 0.00
# Size of the total moment in μB per cell: 0.00
# Formation energy from the elements in kJ/mol of atoms: -7.2
data_Zn3Cu5
_chemical_formula_sum 'Zn6 Cu10'
_cell_length_a 5.014
_cell_length_b 6.744
_cell_length_c 6.795
_cell_angle_alpha 83.90
_cell_angle_beta 70.87
_cell_angle_gamma 69.90
_space_group_name_H-M_alt 'P -1'
_space_group_IT_number 2
loop_
_space_group_symop_operation_xyz
'x,y,z'
'-x,-y,-z'
loop_
_atom_site_label
_atom_site_fract_x
_atom_site_fract_y
_atom_site_fract_z
Zn1 0.007 0.171 0.080
Zn2 0.253 0.961 0.535
Zn3 0.488 0.424 0.331
Cu1 0.000 0.336 0.413
Cu2 0.247 0.292 0.710
Cu3 0.248 0.793 0.209
Cu4 0.253 0.457 0.040
Cu5 0.494 0.917 0.838